[1]
A relaxed structure of Cr3SiNi2, computed with PBE-GGA.

As for the space group: Fd-3m (227). Its calculated total energy is -7.710 eV/atom.

Unit cell a=7.335 b=7.335 c=7.335 alpha=60.00 beta=60.00 gamma=60.00
Fractional coordinates of all 24 atoms:
1 Cr 0.078 0.422 0.422
2 Cr 0.828 0.172 0.828
3 Cr 0.172 0.828 0.172
4 Cr 0.828 0.172 0.172
5 Cr 0.172 0.172 0.828
6 Cr 0.828 0.828 0.172
7 Cr 0.078 0.078 0.422
8 Cr 0.422 0.078 0.422
9 Cr 0.078 0.422 0.078
10 Cr 0.422 0.422 0.078
11 Cr 0.172 0.828 0.828
12 Cr 0.422 0.078 0.078
13 Si 0.625 0.625 0.125
14 Si 0.125 0.625 0.625
15 Si 0.625 0.125 0.625
16 Si 0.625 0.625 0.625
17 Ni 0.415 0.415 0.754
18 Ni 0.496 0.835 0.835
19 Ni 0.835 0.496 0.835
20 Ni 0.835 0.835 0.835
21 Ni 0.415 0.754 0.415
22 Ni 0.415 0.415 0.415
23 Ni 0.754 0.415 0.415
24 Ni 0.835 0.835 0.496

***

[2]
A relaxed structure of AlOs, computed with PBE-GGA.

As for the space group: Cm (8). As for the energy of formation: -0.5 eV per formula unit.

Unit cell a=5.339 b=5.339 c=6.021 alpha=75.92 beta=75.92 gamma=31.23
Fractional coordinates of all 6 atoms:
1 Al 0.340 0.340 0.332
2 Al 0.651 0.651 0.701
3 Al 0.616 0.616 0.256
4 Os 0.994 0.994 0.012
5 Os 0.947 0.947 0.588
6 Os 0.286 0.286 0.944

***

[3]
A relaxed structure of TaTi4Sn, computed with PBE-GGA.

As for the space group: P2/m (10). As for the energy of formation: -0.4 eV per formula unit. The calculation puts the energy above the lowest structure with this stoichiometry at 0 meV/atom.

Unit cell a=2.937 b=7.842 c=5.582 alpha=91.60 beta=58.27 gamma=93.05
Fractional coordinates of all 6 atoms:
1 Ta 0.000 0.000 0.000
2 Ti 0.349 0.679 0.000
3 Ti 0.651 0.321 0.000
4 Ti 0.810 0.156 0.500
5 Ti 0.190 0.844 0.500
6 Sn 0.500 0.500 0.500

***

[4]
A relaxed structure of LiSiBr, computed with PBE-GGA.

As for the space group: P3m1 (156). The calculation puts the energy above the lowest structure with this stoichiometry at 657 meV/atom.

Unit cell a=3.497 b=3.497 c=5.847 alpha=90.00 beta=90.00 gamma=120.00
Fractional coordinates of all 3 atoms:
1 Br 0.000 0.000 0.046
2 Li 0.667 0.333 0.302
3 Si 0.333 0.667 0.652

***

[5]
A relaxed structure of LaSiPd, computed with PBE-GGA.

As for the space group: P2_1/c (14). Its calculated total energy is -6.059 eV/atom.

Unit cell a=5.871 b=5.891 c=7.747 alpha=107.80 beta=90.00 gamma=90.00
Fractional coordinates of all 12 atoms:
1 Si 0.631 0.169 0.965
2 Si 0.369 0.831 0.035
3 Si 0.131 0.331 0.535
4 Si 0.869 0.669 0.465
5 Pd 0.615 0.597 0.198
6 Pd 0.385 0.403 0.802
7 Pd 0.885 0.097 0.698
8 Pd 0.115 0.903 0.302
9 La 0.137 0.332 0.123
10 La 0.363 0.832 0.623
11 La 0.863 0.668 0.877
12 La 0.637 0.168 0.377

***

[6]
A relaxed structure of Ba2Ag5Hg, computed with PBE-GGA.

As for the space group: Cmcm (63). As for the energy of formation: -1.8 eV per formula unit.

Unit cell a=4.837 b=9.337 c=10.189 alpha=90.00 beta=90.00 gamma=105.01
Fractional coordinates of all 16 atoms:
1 Ba 0.793 0.586 0.750
2 Ba 0.207 0.414 0.250
3 Ba 0.000 0.000 0.000
4 Ba 0.000 0.000 0.500
5 Ag 0.180 0.360 0.887
6 Ag 0.820 0.640 0.113
7 Ag 0.180 0.360 0.613
8 Ag 0.820 0.640 0.387
9 Ag 0.343 0.686 0.980
10 Ag 0.657 0.314 0.020
11 Ag 0.343 0.686 0.520
12 Ag 0.657 0.314 0.480
13 Ag 0.602 0.203 0.750
14 Ag 0.398 0.797 0.250
15 Hg 0.441 0.882 0.750
16 Hg 0.559 0.118 0.250